Crystalline AcTaNi at its relaxed geometry. Source: OQMD via LeMat-Bulk, functional PBE.

Computed properties:
Distance to the lowest polymorph of the same formula (meV/atom): 0
Energy relative to the elements (kJ/mol of formula units): 217

Cell: 4.7033 4.7033 4.7033 Å, 60.00 60.00 60.00°
Closest atoms and distances in Å follow each position.
Fractional positions:
Ac1 0.2500 0.2500 0.2500  4 Ni 2.88
Ni1 0.0000 0.0000 0.0000  4 Ta 2.88, 4 Ac 2.88
Ta1 0.7500 0.7500 0.7500  4 Ni 2.88

---

Crystalline Ho2SnH2 at its relaxed geometry. Source: OQMD via LeMat-Bulk, functional PBE.

Cell: 6.0409 6.0400 3.9456 Å, 70.95 70.93 38.12°
Closest atoms and distances in Å follow each position.
Fractional positions:
H1 0.2500 0.2500 0.2500  4 Ho 2.22
H2 0.7500 0.7500 0.7500  4 Ho 2.22
Ho1 0.6543 0.6543 0.3457  4 H 2.22
Ho2 0.3457 0.3457 0.6543  4 H 2.22
Sn1 0.0000 0.0000 0.0000  8 Ho 3.24, 8 H 3.33

---

Crystalline BaLuCuTe3 at its relaxed geometry. Source: OQMD via LeMat-Bulk, functional PBE.

Cell: 10.0365 10.0365 9.0208 Å, 101.53 101.53 25.67°
Closest atoms and distances in Å follow each position.
Fractional positions:
Ba1 0.1307 0.1307 0.0693  7 Te 3.35-3.73
Ba2 0.8693 0.8693 0.9307  7 Te 3.35-3.73
Cu1 0.4600 0.4600 0.2982  3 Te 2.62-2.88
Cu2 0.5400 0.5400 0.7018  3 Te 2.62-2.88
Lu1 0.8381 0.8381 0.4215  6 Te 3.01-3.10
Lu2 0.1619 0.1619 0.5785  6 Te 3.01-3.10
Te1 0.5000 0.5000 0.0000  2 Cu 2.95
Te2 0.3248 0.3248 0.1919  1 Cu 2.62
Te3 0.6772 0.6772 0.3628  3 Lu 3.01-3.08
Te4 0.0000 0.0000 0.5000  4 Cu 2.88, 2 Lu 3.10
Te5 0.3228 0.3228 0.6372  3 Lu 3.01-3.08
Te6 0.6752 0.6752 0.8081  1 Cu 2.62

---

Crystalline Er3In4Co2 at its relaxed geometry. Source: OQMD via LeMat-Bulk, functional PBE.

Cell: 8.1131 8.1132 3.4834 Å, 90.00 90.00 120.00°
Closest atoms and distances in Å follow each position.
Fractional positions:
Co1 0.0000 0.0000 0.0000  6 Er 2.70
Co2 0.3333 0.6667 0.5000  6 In 2.78
Er1 0.2595 0.0103 0.5000  2 Co 2.70, 1 In 3.02
Er2 0.9897 0.2492 0.5000  2 Co 2.70, 1 In 3.02
Er3 0.7508 0.7405 0.5000  2 Co 2.70, 1 In 3.02
In1 0.3680 0.4191 0.0000  2 Co 2.78
In2 0.0511 0.6320 0.0000  2 Co 2.78
In3 0.5809 0.9489 0.0000  2 Co 2.78
In4 0.6667 0.3333 0.5000  3 Er 3.02, 6 In 3.33

---

Crystalline Sc2Os at its relaxed geometry. Source: OQMD via LeMat-Bulk, functional PBE.

Computed properties:
Energy relative to the elements (kJ/mol of formula units): 167

Cell: 5.3189 5.3189 5.3189 Å, 60.00 60.00 60.00°
Closest atoms and distances in Å follow each position.
Fractional positions:
Os1 0.0000 0.0000 0.0000  12 Sc 3.12, 4 Os 3.26
Os2 0.2500 0.2500 0.2500  12 Sc 3.12, 4 Os 3.26
Sc1 0.6250 0.6250 0.1250  6 Sc 2.66
Sc2 0.6250 0.1250 0.6250  6 Sc 2.66
Sc3 0.1250 0.6250 0.6250  6 Sc 2.66
Sc4 0.6250 0.6250 0.6250  6 Sc 2.66

---

Crystalline NdPaTe at its relaxed geometry. Source: OQMD via LeMat-Bulk, functional PBE.

Computed properties:
Distance to the lowest polymorph of the same formula (meV/atom): 0

Cell: 5.1694 5.1694 5.1694 Å, 60.00 60.00 60.00°
Closest atoms and distances in Å follow each position.
Fractional positions:
Nd1 0.7500 0.7500 0.7500  4 Te 3.17
Pa1 0.2500 0.2500 0.2500  4 Te 3.17
Te1 0.5000 0.5000 0.5000  4 Pa 3.17, 4 Nd 3.17

---

Crystalline PrTmSi2Os at its relaxed geometry. Source: OQMD via LeMat-Bulk, functional PBE.

Cell: 5.7638 5.7638 10.1550 Å, 116.27 116.27 43.37°
Closest atoms and distances in Å follow each position.
Fractional positions:
Os1 0.7321 0.7321 0.3776  4 Si 2.43-2.53
Os2 0.2679 0.2679 0.6224  4 Si 2.43-2.53
Pr1 0.1923 0.1923 0.1090  6 Si 2.97-3.22, 2 Os 3.32
Pr2 0.8077 0.8077 0.8910  6 Si 2.97-3.22, 2 Os 3.32
Si1 0.5026 0.5026 0.1325  1 Os 2.53, 1 Si 2.67
Si2 0.3565 0.3565 0.4412  3 Os 2.43-2.44, 1 Si 2.72
Si3 0.6435 0.6435 0.5588  3 Os 2.43-2.44, 1 Si 2.72
Si4 0.4974 0.4974 0.8675  1 Os 2.53, 1 Si 2.67
Tm1 0.9991 0.9991 0.3276  6 Si 2.92-3.14, 4 Os 3.01-3.13
Tm2 0.0009 0.0009 0.6724  6 Si 2.92-3.14, 4 Os 3.01-3.13

---

Crystalline SrTcAsO at its relaxed geometry. Source: OQMD via LeMat-Bulk, functional PBE.

Computed properties:
Distance to the lowest polymorph of the same formula (meV/atom): 115

Cell: 4.1530 6.8376 6.1248 Å, 90.00 90.00 90.00°
Closest atoms and distances in Å follow each position.
Fractional positions:
As1 0.0000 0.7215 0.4131  2 Tc 2.45
As2 0.0000 0.2785 0.9131  2 Tc 2.45
O1 0.5000 0.3427 0.3677  2 Tc 1.99
O2 0.5000 0.6573 0.8677  2 Tc 1.99
Sr1 0.0000 0.1862 0.4186  2 O 2.36
Sr2 0.0000 0.8138 0.9186  2 O 2.36
Tc1 0.5000 0.4199 0.0547  2 O 1.99
Tc2 0.5000 0.5801 0.5547  2 O 1.99

---

Crystalline SrIr at its relaxed geometry. Source: OQMD via LeMat-Bulk, functional PBE.

Cell: 4.3636 4.3636 4.3636 Å, 60.00 60.00 60.00°
Closest atoms and distances in Å follow each position.
Fractional positions:
Ir1 0.0000 0.0000 0.0000  6 Sr 3.09
Sr1 0.5000 0.5000 0.5000  6 Ir 3.09

---

Crystalline Cu9Ag31 at its relaxed geometry. Source: OQMD via LeMat-Bulk, functional PBE.

Computed properties:
Energy relative to the elements (kJ/mol of formula units): 237

Cell: 6.3948 7.6125 14.2734 Å, 79.13 77.09 89.82°
Closest atoms and distances in Å follow each position.
Fractional positions:
Ag1 0.3809 0.1282 0.0464  11 Ag 2.84-3.02, 1 Cu 2.91
Ag2 0.8731 0.6262 0.0520  12 Ag 2.87-2.95
Ag3 0.2508 0.7490 0.1026  11 Ag 2.83-2.98, 1 Cu 2.85
Ag4 0.7472 0.2490 0.1033  10 Ag 2.85-2.91, 2 Cu 2.95-3.00
Ag5 0.6181 0.8710 0.1546  11 Ag 2.83-2.97, 1 Cu 2.86
Ag6 0.1198 0.3693 0.1563  11 Ag 2.85-3.00, 1 Cu 2.90
Ag7 0.0016 0.9974 0.2031  10 Ag 2.80-2.95, 2 Cu 2.85-2.91
Ag8 0.4966 0.4963 0.2076  10 Ag 2.81-2.98, 2 Cu 2.83-2.89
Ag9 0.8795 0.6184 0.2586  3 Cu 2.76-2.90, 9 Ag 2.82-2.95
Ag10 0.3781 0.1218 0.2590  3 Cu 2.77-2.92, 9 Ag 2.80-3.02
Ag11 0.6208 0.8704 0.3534  8 Ag 2.79-2.94, 4 Cu 2.86-2.90
Ag12 0.1137 0.3713 0.3635  6 Cu 2.68-2.86, 6 Ag 2.82-2.95
Ag13 0.9977 0.9979 0.3998  5 Cu 2.78-2.98, 7 Ag 2.80-2.86
Ag14 0.5038 0.4849 0.4050  6 Cu 2.71-2.95, 6 Ag 2.77-2.94
Ag15 0.2435 0.7459 0.4938  4 Cu 2.72-2.99, 8 Ag 2.80-2.95
Ag16 0.6235 0.8824 0.5472  3 Cu 2.77-2.93, 9 Ag 2.79-2.95
Ag17 0.0095 0.0144 0.5929  4 Cu 2.76-2.91, 8 Ag 2.80-3.02
Ag18 0.4955 0.5002 0.5984  8 Ag 2.77-2.95, 4 Cu 2.85-2.88
Ag19 0.8823 0.6201 0.6430  3 Cu 2.74-2.84, 9 Ag 2.80-3.02
Ag20 0.3718 0.1370 0.6446  5 Cu 2.76-2.86, 7 Ag 2.79-2.97
Ag21 0.7661 0.2508 0.6979  5 Cu 2.71-2.86, 7 Ag 2.80-2.97
Ag22 0.2448 0.7552 0.6987  10 Ag 2.83-2.94, 2 Cu 2.89-2.96
Ag23 0.6368 0.8779 0.7458  11 Ag 2.83-2.97, 1 Cu 2.86
Ag24 0.4968 0.4972 0.7976  10 Ag 2.82-2.94, 2 Cu 2.87-2.89
Ag25 0.3728 0.1307 0.8439  3 Cu 2.79-2.91, 9 Ag 2.82-2.91
Ag26 0.8768 0.6197 0.8454  9 Ag 2.80-2.95, 3 Cu 2.83-3.02
Ag27 0.2469 0.7571 0.8973  11 Ag 2.84-2.93, 1 Cu 2.87
Ag28 0.6340 0.8840 0.9438  10 Ag 2.80-2.98, 2 Cu 2.81
Ag29 0.1164 0.3756 0.9462  2 Cu 2.79-2.84, 10 Ag 2.80-3.00
Ag30 0.9958 0.0059 0.9963  10 Ag 2.80-2.96, 2 Cu 2.80-2.81
Ag31 0.5021 0.4988 0.9979  11 Ag 2.84-2.98, 1 Cu 2.93
Cu1 0.2428 0.7430 0.3039  11 Ag 2.72-2.95, 1 Cu 2.82
Cu2 0.7443 0.2426 0.3107  2 Cu 2.69-2.72, 10 Ag 2.75-2.95
Cu3 0.3880 0.1314 0.4506  3 Cu 2.69-2.88, 9 Ag 2.71-2.99
Cu4 0.8763 0.6163 0.4524  9 Ag 2.72-2.93, 3 Cu 2.78-2.82
Cu5 0.7497 0.2541 0.4991  8 Ag 2.70-2.89, 4 Cu 2.72-2.84
Cu6 0.1201 0.3762 0.5500  8 Ag 2.68-2.85, 4 Cu 2.78-2.88
Cu7 0.1185 0.3687 0.7476  9 Ag 2.71-2.96, 3 Cu 2.72-2.81
Cu8 0.0023 0.0142 0.7977  2 Cu 2.72, 10 Ag 2.74-3.02
Cu9 0.7609 0.2496 0.8921  2 Cu 2.72-2.74, 10 Ag 2.76-3.00

---

Crystalline ScGa2Ir2 at its relaxed geometry. Source: OQMD via LeMat-Bulk, functional PBE.

Cell: 5.7741 5.7741 5.7741 Å, 137.61 137.61 61.49°
Closest atoms and distances in Å follow each position.
Fractional positions:
Ga1 0.3798 0.3798 0.0000  1 Ga 2.39, 4 Ir 2.45
Ga2 0.6202 0.6202 0.0000  1 Ga 2.39, 4 Ir 2.45
Ir1 0.7500 0.2500 0.5000  4 Ga 2.45
Ir2 0.2500 0.7500 0.5000  4 Ga 2.45
Sc1 0.0000 0.0000 0.0000  8 Ga 3.18, 8 Ir 3.24

---

Crystalline ErZnSn2 at its relaxed geometry. Source: OQMD via LeMat-Bulk, functional PBE.

Cell: 4.3486 4.3486 9.7403 Å, 90.00 90.00 90.00°
Closest atoms and distances in Å follow each position.
Fractional positions:
Er1 0.0000 0.5000 0.2511  8 Sn 3.13-3.27, 4 Zn 3.26
Er2 0.5000 0.0000 0.7489  8 Sn 3.13-3.27, 4 Zn 3.26
Sn1 0.0000 0.0000 0.0000  4 Sn 3.07, 4 Er 3.27
Sn2 0.5000 0.5000 0.0000  4 Sn 3.07, 4 Er 3.27
Sn3 0.5000 0.0000 0.3124  4 Zn 2.84, 4 Er 3.13
Sn4 0.0000 0.5000 0.6876  4 Zn 2.84, 4 Er 3.13
Zn1 0.0000 0.0000 0.5000  4 Sn 2.84, 4 Zn 3.07
Zn2 0.5000 0.5000 0.5000  4 Sn 2.84, 4 Zn 3.07

---

no.,VASP energy (eV/atom)
1,-6.42
2,-4.69
3,-4.36
4,-4.55
5,-7.39
6,-5.85
7,-7.00
8,-6.40
9,-4.53
10,-2.96
11,-6.56
12,-3.88